# 1
This record from Alexandria via LeMat-Bulk describes Na2Tl5SnPb2 after structural relaxation. The functional is PBE-GGA.

Output
formation enthalpy at 0 K = 0.0193 eV/atom

```
Na2Tl5SnPb2
1.0
11.1515 0.0000 0.0000
0.0000 11.1515 0.0000
0.0000 0.0000 5.0935
Na Tl Sn Pb
4 10 2 4
Direct
0.1691 0.3309 0.0000
0.3309 0.8309 0.0000
0.6691 0.1691 0.0000
0.8309 0.6691 0.0000
0.0000 0.5000 0.5000
0.0819 0.8116 0.5000
0.1884 0.0819 0.5000
0.3116 0.5819 0.5000
0.4181 0.3116 0.5000
0.5000 0.0000 0.5000
0.5819 0.6884 0.5000
0.6884 0.4181 0.5000
0.8116 0.9181 0.5000
0.9181 0.1884 0.5000
0.0000 0.0000 0.0000
0.5000 0.5000 0.0000
0.1284 0.6284 0.0000
0.3716 0.1284 0.0000
0.6284 0.8716 0.0000
0.8716 0.3716 0.0000
```

---

# 2
This record from Alexandria via LeMat-Bulk describes Ba2DyIn12Ir3 after structural relaxation. The functional is PBE-GGA.

Output
formation enthalpy at 0 K = -0.0171 eV/atom

```
Ba2DyIn12Ir3
1.0
5.0334 2.9061 6.7781
-5.0334 2.9061 6.7781
0.0000 -5.8121 6.7781
Ba Dy In Ir
2 1 12 3
Direct
0.0954 0.0954 0.0954
0.9046 0.9046 0.9046
0.5000 0.5000 0.5000
0.1098 0.6400 0.6400
0.2216 0.2216 0.5769
0.2216 0.5769 0.2216
0.3600 0.3600 0.8902
0.3600 0.8902 0.3600
0.4231 0.7784 0.7784
0.5769 0.2216 0.2216
0.6400 0.1098 0.6400
0.6400 0.6400 0.1098
0.7784 0.4231 0.7784
0.7784 0.7784 0.4231
0.8902 0.3600 0.3600
0.0000 0.5000 0.5000
0.5000 0.0000 0.5000
0.5000 0.5000 0.0000
```

---

# 3
This record from Alexandria via LeMat-Bulk describes SrPm2PaAs4 after structural relaxation. The functional is PBE-GGA.

Output
formation enthalpy at 0 K = -1.2994 eV/atom

```
SrPm2PaAs4
1.0
5.9928 0.0000 0.0000
0.0000 5.9928 0.0000
0.0000 0.0000 12.0149
Sr Pm Pa As
2 4 2 8
Direct
0.0000 0.0000 0.0000
0.5000 0.5000 0.5000
0.0000 0.0000 0.5000
0.0000 0.5000 0.2500
0.5000 0.0000 0.7500
0.5000 0.5000 0.0000
0.0000 0.5000 0.7500
0.5000 0.0000 0.2500
0.0000 0.0000 0.2554
0.0000 0.0000 0.7446
0.0000 0.5000 0.5134
0.0000 0.5000 0.9866
0.5000 0.0000 0.0134
0.5000 0.0000 0.4866
0.5000 0.5000 0.2446
0.5000 0.5000 0.7554
```

---

# 4
This record from Alexandria via LeMat-Bulk describes LiHfO after structural relaxation. The functional is PBE-GGA.

Output
formation energy without anion corrections = -1.70 eV/atom
ΔE to the lowest computed polymorph = 0.23 eV/f.u.

```
LiHfO
1.0
3.4426 0.0000 0.0000
0.0000 3.1697 0.0000
0.0000 0.0000 15.3574
Li Hf O
4 4 4
Direct
0.0000 0.0000 0.0000
0.0000 0.5000 0.5000
0.5000 0.0000 0.4713
0.5000 0.5000 0.9713
0.0000 0.0000 0.2986
0.0000 0.5000 0.7986
0.5000 0.0000 0.6603
0.5000 0.5000 0.1603
0.0000 0.0000 0.4273
0.0000 0.5000 0.9273
0.5000 0.0000 0.0631
0.5000 0.5000 0.5631
```

---

# 5
This record from Alexandria via LeMat-Bulk describes Dy3LuCo after structural relaxation. The functional is PBE-GGA.

Output
formation enthalpy at 0 K = 0.0228 eV/atom

```
Dy3LuCo
1.0
5.2497 0.0000 0.0000
0.0000 5.2497 0.0000
0.0000 0.0000 5.2497
Dy Lu Co
3 1 1
Direct
0.0000 0.0000 0.5000
0.0000 0.5000 0.0000
0.5000 0.0000 0.0000
0.5000 0.5000 0.5000
0.0000 0.0000 0.0000
```

---

# 6
This record from Alexandria via LeMat-Bulk describes AcTePb2O8 after structural relaxation. The functional is PBE-GGA.

Output
formation energy without anion corrections = -1.41 eV/atom

```
AcTePb2O8
1.0
5.1215 0.0000 0.0000
0.0000 7.1884 0.0000
-0.1208 0.0000 5.1338
Ac Te Pb O
1 1 2 8
Direct
0.0000 0.0000 0.0000
0.0000 0.5000 0.0000
0.5000 0.2590 0.5000
0.5000 0.7410 0.5000
0.1842 0.2985 0.1853
0.1842 0.7015 0.1853
0.2774 0.5000 0.7241
0.3275 0.0000 0.6786
0.6725 0.0000 0.3214
0.7226 0.5000 0.2759
0.8158 0.2985 0.8147
0.8158 0.7015 0.8147
```

---

# 7
This record from Alexandria via LeMat-Bulk describes CoAuSN2 after structural relaxation. The functional is PBE-GGA.

Output
formation energy without anion corrections = 1.04 eV/atom
ΔE to the lowest computed polymorph = 0.00 eV/f.u.

```
CoAuSN2
1.0
3.5009 0.0000 0.0000
0.0000 3.5009 0.0000
0.0000 0.0000 6.7660
Co Au S N
1 1 1 2
Direct
0.0000 0.0000 0.0000
0.5000 0.5000 0.5000
0.0000 0.0000 0.5000
0.0000 0.5000 0.0000
0.5000 0.0000 0.0000
```

---

# 8
This record from Alexandria via LeMat-Bulk describes Tb2PmEr4 after structural relaxation. The functional is PBE-GGA.

Output
ΔE to the lowest computed polymorph = 0.00 eV/f.u.
formation enthalpy at 0 K = 0.0367 eV/atom

```
Tb2PmEr4
1.0
16.6025 0.0000 0.0000
0.0000 3.5176 0.0000
-4.3035 0.0000 7.5624
Tb Pm Er
4 2 8
Direct
0.0698 0.0000 0.4293
0.4302 0.5000 0.5707
0.5698 0.5000 0.4293
0.9302 0.0000 0.5707
0.0000 0.0000 0.0000
0.5000 0.5000 0.0000
0.1437 0.5000 0.8371
0.2058 0.5000 0.2940
0.2942 0.0000 0.7060
0.3563 0.0000 0.1629
0.6437 0.0000 0.8371
0.7058 0.0000 0.2940
0.7942 0.5000 0.7060
0.8563 0.5000 0.1629
```

---

# 9
This record from Alexandria via LeMat-Bulk describes Li3Ga2Hg after structural relaxation. The functional is PBE-GGA.

Output
formation enthalpy at 0 K = -0.2790 eV/atom

```
Li3Ga2Hg
1.0
4.4529 0.0000 0.0000
0.0000 8.7328 0.0000
0.0000 0.0000 5.2538
Li Ga Hg
6 4 2
Direct
0.0000 0.0760 0.0000
0.0000 0.9240 0.5000
0.5000 0.2315 0.2262
0.5000 0.4053 0.7270
0.5000 0.5947 0.2270
0.5000 0.7685 0.7262
0.0000 0.2471 0.5585
0.0000 0.7529 0.0585
0.5000 0.0846 0.6793
0.5000 0.9154 0.1793
0.0000 0.4001 0.0738
0.0000 0.5999 0.5738
```

---

# 10
This record from Alexandria via LeMat-Bulk describes NaSnMoH after structural relaxation. The functional is PBE-GGA.

Output
ΔE to the lowest computed polymorph = 0.00 eV/f.u.

```
NaSnMoH
1.0
5.7389 0.0000 0.0000
0.0000 3.0534 0.0000
-1.7754 0.0000 7.5566
Na Sn Mo H
2 2 2 2
Direct
0.0000 0.0000 0.0000
0.5000 0.5000 0.0000
0.2885 0.5000 0.3597
0.7885 0.0000 0.3597
0.1972 0.0000 0.6457
0.6972 0.5000 0.6457
0.0500 0.5000 0.7387
0.5500 0.0000 0.7387
```

---

# 11
This record from Alexandria via LeMat-Bulk describes SrCa2La after structural relaxation. The functional is PBE-GGA.

Output
ΔE to the lowest computed polymorph = 0.15 eV/f.u.
formation enthalpy at 0 K = 0.1021 eV/atom

```
SrCa2La
1.0
3.8307 0.0000 0.0000
0.0000 5.7807 0.0000
0.0000 0.0000 7.8206
Sr Ca La
1 2 1
Direct
0.0000 0.0000 0.0000
0.0000 0.0000 0.5106
0.5000 0.5000 0.2601
0.5000 0.5000 0.7449
```

---

# 12
This record from Alexandria via LeMat-Bulk describes Pa3Se5N after structural relaxation. The functional is PBE-GGA.

Output
formation energy without anion corrections = -1.28 eV/atom

```
Pa3Se5N
1.0
6.1525 -4.8493 0.0000
6.1525 4.8493 0.0000
-3.0263 0.0000 8.2595
Pa Se N
6 10 2
Direct
0.0000 0.0000 0.0000
0.0000 0.0000 0.5000
0.2620 0.2620 0.4001
0.3492 0.3492 0.8412
0.6508 0.6508 0.1588
0.7380 0.7380 0.5999
0.0016 0.6235 0.3664
0.2364 0.2364 0.0665
0.2860 0.7140 0.0000
0.3765 0.9984 0.6336
0.4864 0.4864 0.6629
0.5136 0.5136 0.3371
0.6235 0.0016 0.3664
0.7140 0.2860 0.0000
0.7636 0.7636 0.9335
0.9984 0.3765 0.6336
0.0749 0.0749 0.2837
0.9251 0.9251 0.7163
```